Entry 1:
DFT (GGA-PBEsol) results for DyAl8Fe4 after structural relaxation.

Results
Size of the total moment (Bohr magnetons per cell): 5.00
Space-group type: No. 139
Total DFT energy (no corrections) (eV/atom): -6.091
N(E_F) (states/eV/atom): 0.65

Unit cell a=6.570 b=6.570 c=6.570 alpha=98.22 beta=98.22 gamma=135.58
Fractional positions:
Dy (0.000, 0.000, 0.000)
Al (0.000, 0.340, 0.340)
Al (0.000, 0.660, 0.660)
Al (0.280, 0.500, 0.780)
Al (0.340, 0.000, 0.340)
Al (0.500, 0.280, 0.780)
Al (0.500, 0.720, 0.220)
Al (0.660, 0.000, 0.660)
Al (0.720, 0.500, 0.220)
Fe (0.000, 0.000, 0.500)
Fe (0.000, 0.500, 0.000)
Fe (0.500, 0.000, 0.000)
Fe (0.500, 0.500, 0.500)

Entry 2:
DFT (GGA-PBEsol) results for DyAl10Fe2 after structural relaxation.

Results
Size of the total moment (Bohr magnetons per cell): 0.00
Space-group type: No. 63
Total DFT energy (no corrections) (eV/atom): -5.275
N(E_F) (states/eV/atom): 0.40

Unit cell a=6.699 b=6.699 c=8.885 alpha=90.00 beta=90.00 gamma=97.29
Fractional positions:
Dy (0.126, 0.874, 0.750)
Dy (0.874, 0.126, 0.250)
Al (0.133, 0.415, 0.750)
Al (0.158, 0.842, 0.097)
Al (0.158, 0.842, 0.403)
Al (0.220, 0.477, 0.250)
Al (0.227, 0.227, 0.000)
Al (0.227, 0.227, 0.500)
Al (0.375, 0.625, 0.550)
Al (0.375, 0.625, 0.950)
Al (0.415, 0.133, 0.250)
Al (0.477, 0.220, 0.750)
Al (0.523, 0.780, 0.250)
Al (0.585, 0.867, 0.750)
Al (0.625, 0.375, 0.050)
Al (0.625, 0.375, 0.450)
Al (0.773, 0.773, 0.000)
Al (0.773, 0.773, 0.500)
Al (0.780, 0.523, 0.750)
Al (0.842, 0.158, 0.597)
Al (0.842, 0.158, 0.903)
Al (0.867, 0.585, 0.250)
Fe (0.000, 0.500, 0.000)
Fe (0.000, 0.500, 0.500)
Fe (0.500, 0.000, 0.000)
Fe (0.500, 0.000, 0.500)

Entry 3:
DFT (GGA-PBEsol) results for Dy2Al3Fe after structural relaxation.

Results
Size of the total moment (Bohr magnetons per cell): 1.85
Space-group type: No. 166
Total DFT energy (no corrections) (eV/atom): -5.595
N(E_F) (states/eV/atom): 0.81

Unit cell a=5.323 b=5.323 c=5.323 alpha=61.64 beta=61.64 gamma=61.64
Fractional positions:
Dy (0.126, 0.126, 0.126)
Dy (0.874, 0.874, 0.874)
Al (0.000, 0.500, 0.500)
Al (0.500, 0.000, 0.500)
Al (0.500, 0.500, 0.000)
Fe (0.500, 0.500, 0.500)